Record 1
Here is a geometry-optimized SmPaTl2 structure from the Alexandria database. Energies are from PBE.

## Properties
ΔE to the lowest computed polymorph: 0 meV per atom

Cell: 3.435 3.435 9.207 Å, 90.00 90.00 90.00°
Positions (direct):
Sm  0.000  0.000  0.000
Pa  0.000  0.000  0.500
Tl  0.500  0.500  0.251
Tl  0.500  0.500  0.749

=====

Record 2
Here is a geometry-optimized SmPaTl2 structure from the Alexandria database. Energies are from PBE.

## Properties
ΔE to the lowest computed polymorph: 64 meV per atom

Cell: 4.944 4.944 4.527 Å, 90.00 90.00 90.00°
Positions (direct):
Sm  0.000  0.000  0.000
Pa  0.500  0.500  0.000
Tl  0.000  0.500  0.500
Tl  0.500  0.000  0.500

=====

Record 3
Here is a geometry-optimized SmPaTl2 structure from the Alexandria database. Energies are from PBE.

## Properties
ΔE to the lowest computed polymorph: 252 meV per atom

Cell: 12.266 12.266 12.266 Å, 15.64 15.64 15.64°
Positions (direct):
Sm  0.000  0.000  0.000
Pa  0.500  0.500  0.500
Tl  0.088  0.088  0.088
Tl  0.912  0.912  0.912

=====

Record 4
Here is a geometry-optimized SmPaTl structure from the Alexandria database. Energies are from PBE.

Cell: 7.965 7.414 5.255 Å, 75.79 64.46 39.76°
Positions (direct):
Sm  0.250  0.250  0.250
Sm  0.750  0.750  0.750
Pa  0.151  0.849  0.151
Pa  0.849  0.151  0.849
Tl  0.390  0.390  0.610
Tl  0.610  0.610  0.390

=====

Record 5
Here is a geometry-optimized SmTmPa structure from the Alexandria database. Energies are from PBE.

## Properties
ΔE to the lowest computed polymorph: 146 meV per atom

Cell: 4.638 4.638 8.467 Å, 90.00 90.00 90.00°
Positions (direct):
Sm  0.250  0.250  0.190
Sm  0.750  0.750  0.810
Tm  0.250  0.250  0.778
Tm  0.750  0.750  0.222
Pa  0.250  0.750  0.500
Pa  0.750  0.250  0.500

=====

Record 6
Here is a geometry-optimized SmTmPa structure from the Alexandria database. Energies are from PBE.

## Properties
ΔE to the lowest computed polymorph: 27 meV per atom

Cell: 7.970 7.970 7.970 Å, 155.36 155.36 35.13°
Positions (direct):
Sm  0.000  0.000  0.000
Tm  0.687  0.687  0.000
Pa  0.341  0.341  0.000

=====

Record 7
Here is a geometry-optimized SmTmPa4 structure from the Alexandria database. Energies are from PBE.

Cell: 6.155 6.155 6.155 Å, 60.00 60.00 60.00°
Positions (direct):
Sm  0.000  0.000  0.000
Tm  0.250  0.250  0.250
Pa  0.125  0.625  0.625
Pa  0.625  0.125  0.625
Pa  0.625  0.625  0.125
Pa  0.625  0.625  0.625

=====

Record 8
Here is a geometry-optimized SmTmPa structure from the Alexandria database. Energies are from PBE.

## Properties
ΔE to the lowest computed polymorph: 0 meV per atom

Cell: 3.425 3.425 8.570 Å, 90.00 90.00 120.00°
Positions (direct):
Sm  0.000  0.000  0.000
Tm  0.333  0.667  0.639
Pa  0.667  0.333  0.324

=====

Record 9
Here is a geometry-optimized SmPaW structure from the Alexandria database. Energies are from PBE.

Cell: 14.752 14.752 14.752 Å, 167.51 167.51 17.70°
Positions (direct):
Sm  0.057  0.057  0.000
Sm  0.943  0.943  0.000
Pa  0.347  0.347  0.000
Pa  0.653  0.653  0.000
W  0.225  0.225  0.000
W  0.775  0.775  0.000

=====

Record 10
Here is a geometry-optimized SmPaW4 structure from the Alexandria database. Energies are from PBE.

Cell: 5.558 5.558 5.558 Å, 60.00 60.00 60.00°
Positions (direct):
Sm  0.000  0.000  0.000
Pa  0.750  0.750  0.750
W  0.375  0.375  0.375
W  0.375  0.375  0.874
W  0.375  0.874  0.375
W  0.874  0.375  0.375

=====

Record 11
Here is a geometry-optimized SmPaZn2 structure from the Alexandria database. Energies are from PBE.

## Properties
ΔE to the lowest computed polymorph: 0 meV per atom

Cell: 3.224 3.224 8.529 Å, 90.00 90.00 90.00°
Positions (direct):
Sm  0.000  0.000  0.000
Pa  0.000  0.000  0.500
Zn  0.500  0.500  0.253
Zn  0.500  0.500  0.747

=====

Record 12
Here is a geometry-optimized SmPa2Zn6 structure from the Alexandria database. Energies are from PBE.

Cell: 7.975 7.975 3.217 Å, 90.00 90.00 120.00°
Positions (direct):
Sm  0.000  0.000  0.000
Pa  0.333  0.667  0.000
Pa  0.667  0.333  0.000
Zn  0.000  0.335  0.500
Zn  0.000  0.665  0.500
Zn  0.335  0.000  0.500
Zn  0.335  0.335  0.500
Zn  0.665  0.000  0.500
Zn  0.665  0.665  0.500

=====

Record 13
Here is a geometry-optimized SmPaZn2 structure from the Alexandria database. Energies are from PBE.

## Properties
ΔE to the lowest computed polymorph: 160 meV per atom

Cell: 9.953 9.953 9.953 Å, 19.26 19.26 19.26°
Positions (direct):
Sm  0.000  0.000  0.000
Pa  0.500  0.500  0.500
Zn  0.249  0.249  0.249
Zn  0.751  0.751  0.751

=====

| no. | total moment (Bohr magnetons per cell) | volume (Å³ per atom) | calculated formation energy (kcal/mol of atoms) |
| --- | --- | --- | --- |
| 1 | 1.1 | 27.15 | -1.1 |
| 2 | 1.9 | 27.66 | 0.4 |
| 3 | 0.0 | 29.21 | 4.7 |
| 4 | 0.9 | 29.51 | 5.1 |
| 5 | 0.0 | 30.35 | 6.4 |
| 6 | 0.0 | 29.30 | 3.7 |
| 7 | 0.0 | 27.48 | 5.5 |
| 8 | 0.0 | 29.02 | 3.0 |
| 9 | 0.0 | 25.04 | 6.9 |
| 10 | 0.0 | 20.24 | 4.5 |
| 11 | 0.7 | 22.16 | -2.1 |
| 12 | 0.0 | 19.69 | -3.8 |
| 13 | 0.0 | 23.45 | 1.6 |